# PBE YTmGaRu, optimized geometry
# - V: 176 Å³/cell
# - Energy above the most stable polymorph in this dataset: 0 meV/atom
# - ΔE_f: -504 meV per atom
# - Final energy: -6.3140 eV per atom
data_YTmGaRu
_cell_length_a 4.313
_cell_length_b 3.823
_cell_length_c 10.694
_cell_angle_alpha 90.00
_cell_angle_beta 90.00
_cell_angle_gamma 90.00
_symmetry_space_group_name_H-M 'A m m 2'
_symmetry_Int_Tables_number 38
loop_
_symmetry_equiv_pos_as_xyz
'x,y,z'
'-x,-y,z'
'-x,y,z'
'x,-y,z'
'x,y+1/2,z+1/2'
'-x,-y+1/2,z+1/2'
'-x,y+1/2,z+1/2'
'x,-y+1/2,z+1/2'
loop_
_atom_site_label
_atom_site_type_symbol
_atom_site_fract_x
_atom_site_fract_y
_atom_site_fract_z
Y1 Y 0.000 0.000 0.000
Tm1 Tm 0.500 0.000 0.712
Ga1 Ga 0.500 0.000 0.419
Ru1 Ru 0.000 0.000 0.281